Density functional theory data (PBE-GGA) for a geometry-optimized Tm2PuIr structure.

Output
**SG**: R-3m, No. 166
**Energy**: -8.2557 eV/atom
**ΔE to the lowest computed polymorph**: 0.1803 eV/atom

The structure in POSCAR format:
```
Tm2PuIr
1.0
1.8939 1.0935 9.1640
-1.8939 1.0935 9.1640
0.0000 -2.1869 9.1640
Tm Pu Ir
2 1 1
Direct
0.2251 0.2251 0.2251
0.7749 0.7749 0.7749
0.0000 0.0000 0.0000
0.5000 0.5000 0.5000
```